1.
! PrSn2Au4, relaxed, DFT PBE; values from VASP
! - total moment (μB/atom) = 0.000
! - DFT formation energy (eV/atom) = -0.4027
&SYSTEM
  ibrav = 0, nat = 7, ntyp = 3
/
ATOMIC_SPECIES
Pr 140.91 Pr.upf
Sn 118.71 Sn.upf
Au 196.97 Au.upf
CELL_PARAMETERS angstrom
-3.417 -2.086 2.530
-3.185 -2.767 -2.151
2.811 -8.341 1.352
ATOMIC_POSITIONS angstrom
Pr 0.000 0.000 0.000
Sn -2.950 -9.751 1.272
Sn -0.841 -3.442 0.459
Au -4.588 -7.554 0.872
Au 0.798 -5.640 0.860
Au -3.434 -4.533 0.489
Au -0.357 -8.660 1.242

2.
! PrSnAu3, relaxed, DFT PBE; values from VASP
! - total moment (μB/atom) = 0.000
! - DFT formation energy (eV/atom) = -0.5278
&SYSTEM
  ibrav = 0, nat = 10, ntyp = 3
/
ATOMIC_SPECIES
Pr 140.91 Pr.upf
Sn 118.71 Sn.upf
Au 196.97 Au.upf
CELL_PARAMETERS angstrom
6.483 -0.038 0.000
2.474 5.218 0.000
0.000 0.000 6.995
ATOMIC_POSITIONS angstrom
Pr 1.107 1.289 0.366
Pr 4.917 3.729 3.864
Sn 5.915 0.342 3.864
Sn 6.592 4.638 0.366
Au 1.268 2.333 3.864
Au 4.756 2.685 0.366
Au 3.521 1.122 5.292
Au 3.521 1.122 2.435
Au 2.503 3.896 1.795
Au 2.503 3.896 5.932

3.
! Pr2SnAu6, relaxed, DFT PBE; values from VASP
! - total moment (μB/atom) = 0.000
! - DFT formation energy (eV/atom) = -0.6005
&SYSTEM
  ibrav = 0, nat = 9, ntyp = 3
/
ATOMIC_SPECIES
Pr 140.91 Pr.upf
Sn 118.71 Sn.upf
Au 196.97 Au.upf
CELL_PARAMETERS angstrom
-0.765 -2.646 4.792
5.464 -3.452 -1.040
5.754 2.257 2.159
ATOMIC_POSITIONS angstrom
Pr 6.848 -2.984 4.705
Pr 3.605 -0.858 1.205
Sn 0.000 0.000 0.000
Au 6.478 -0.319 2.909
Au 8.865 -1.826 2.457
Au 6.352 -2.810 1.513
Au 3.975 -3.523 3.001
Au 1.588 -2.016 3.454
Au 4.101 -1.032 4.397

> Which value of DFT formation energy does entry 2 give?

-0.5278 eV/atom